Entry 1:
## CaBeSe2 (GGA-PBE)

Data for CaBeSe2 after structural relaxation.

```
CaBeSe2
1.0
4.533 0.000 0.000
-2.266 3.925 0.000
0.000 0.000 20.737
Ca Be Se
3 3 6
direct
0.000 0.000 0.000
0.333 0.667 0.667
0.667 0.333 0.333
0.000 0.000 0.500
0.333 0.667 0.167
0.667 0.333 0.833
0.000 0.000 0.403
0.000 0.000 0.597
0.333 0.667 0.070
0.333 0.667 0.263
0.667 0.333 0.737
0.667 0.333 0.930
```

- Space group: No. 166
- N(E_F): 0.0 states/eV/f.u.
- Electronic total energy: -4.29 eV/atom

---

Entry 2:
## CaBe2Se (GGA-PBE)

Data for CaBe2Se after structural relaxation.

```
CaBe2Se
1.0
4.017 0.000 0.000
0.000 4.017 0.000
0.000 0.000 8.761
Ca Be Se
2 4 2
direct
0.000 0.000 0.000
0.500 0.500 0.500
0.000 0.000 0.500
0.000 0.500 0.250
0.500 0.000 0.750
0.500 0.500 0.000
0.000 0.500 0.750
0.500 0.000 0.250
```

- Space group: No. 119
- N(E_F): 3.0 states/eV/f.u.
- Electronic total energy: -2.97 eV/atom

---

Entry 3:
## CaBeSe2 (GGA-PBE)

Data for CaBeSe2 after structural relaxation.

```
CaBeSe2
1.0
6.594 0.000 0.000
0.000 6.594 0.000
0.000 0.000 8.284
Ca Be Se
4 4 8
direct
0.000 0.000 0.000
0.000 0.500 0.250
0.500 0.000 0.750
0.500 0.500 0.500
0.000 0.000 0.500
0.000 0.500 0.750
0.500 0.000 0.250
0.500 0.500 0.000
0.171 0.750 0.625
0.250 0.171 0.375
0.250 0.329 0.875
0.329 0.750 0.125
0.671 0.250 0.125
0.750 0.671 0.875
0.750 0.829 0.375
0.829 0.250 0.625
```

- Space group: No. 122
- N(E_F): 0.0 states/eV/f.u.
- Electronic total energy: -4.42 eV/atom

---

Entry 4:
## CaBeSe2 (GGA-PBE)

Data for CaBeSe2 after structural relaxation.

```
CaBeSe2
1.0
6.949 0.000 0.000
0.000 6.949 0.000
0.000 0.000 6.949
Ca Be Se
4 4 8
direct
0.000 0.000 0.000
0.000 0.500 0.500
0.500 0.000 0.500
0.500 0.500 0.000
0.250 0.250 0.250
0.250 0.750 0.750
0.750 0.250 0.750
0.750 0.750 0.250
0.000 0.000 0.500
0.000 0.500 0.000
0.250 0.250 0.750
0.250 0.750 0.250
0.500 0.000 0.000
0.500 0.500 0.500
0.750 0.250 0.250
0.750 0.750 0.750
```

- Space group: No. 216
- N(E_F): 1.6 states/eV/f.u.
- Electronic total energy: -3.18 eV/atom

---

Entry 5:
## CaBe2Se (GGA-PBE)

Data for CaBe2Se after structural relaxation.

```
CaBe2Se
1.0
6.638 0.000 0.000
0.000 6.638 0.000
0.000 0.000 6.638
Ca Be Se
4 8 4
direct
0.000 0.000 0.000
0.000 0.500 0.500
0.500 0.000 0.500
0.500 0.500 0.000
0.000 0.000 0.500
0.000 0.500 0.000
0.250 0.250 0.750
0.250 0.750 0.250
0.500 0.000 0.000
0.500 0.500 0.500
0.750 0.250 0.250
0.750 0.750 0.750
0.250 0.250 0.250
0.250 0.750 0.750
0.750 0.250 0.750
0.750 0.750 0.250
```

- Space group: No. 216
- N(E_F): 2.2 states/eV/f.u.
- Electronic total energy: -2.88 eV/atom

---

Entry 6:
## CaBe2Se (GGA-PBE)

Data for CaBe2Se after structural relaxation.

```
CaBe2Se
1.0
7.637 0.000 0.000
0.000 3.629 0.000
-1.183 0.000 5.417
Ca Be Se
2 4 2
direct
0.000 0.000 0.000
0.500 0.500 0.000
0.108 0.500 0.652
0.309 0.000 0.618
0.608 0.000 0.652
0.809 0.500 0.618
0.251 0.500 0.351
0.751 0.000 0.351
```

- Space group: No. 8
- N(E_F): 1.2 states/eV/f.u.
- Electronic total energy: -3.48 eV/atom

---

Entry 7:
## CaBeSe2 (GGA-PBE)

Data for CaBeSe2 after structural relaxation.

```
CaBeSe2
1.0
3.829 0.000 0.000
-1.914 3.316 0.000
0.000 0.000 19.252
Ca Be Se
3 3 6
direct
0.000 0.000 0.000
0.333 0.667 0.667
0.667 0.333 0.333
0.000 0.000 0.500
0.333 0.667 0.167
0.667 0.333 0.833
0.000 0.000 0.234
0.000 0.000 0.766
0.333 0.667 0.432
0.333 0.667 0.901
0.667 0.333 0.099
0.667 0.333 0.568
```

- Space group: No. 166
- N(E_F): 0.0 states/eV/f.u.
- Electronic total energy: -4.19 eV/atom

---

Entry 8:
## CaBe2Se (GGA-PBE)

Data for CaBe2Se after structural relaxation.

```
CaBe2Se
1.0
3.932 0.000 0.000
0.000 3.932 0.000
0.000 0.000 4.609
Ca Be Se
1 2 1
direct
0.000 0.000 0.000
0.000 0.500 0.500
0.500 0.000 0.500
0.500 0.500 0.000
```

- Space group: No. 123
- N(E_F): 1.1 states/eV/f.u.
- Electronic total energy: -3.09 eV/atom

---

Entry 9:
## CaBe2Se (GGA-PBE)

Data for CaBe2Se after structural relaxation.

```
CaBe2Se
1.0
3.517 0.000 0.000
0.000 3.517 0.000
0.000 0.000 5.771
Ca Be Se
1 2 1
direct
0.000 0.000 0.000
0.000 0.500 0.585
0.500 0.000 0.585
0.500 0.500 0.296
```

- Space group: No. 99
- N(E_F): 1.5 states/eV/f.u.
- Electronic total energy: -3.37 eV/atom

---

Entry 10:
## CaBe4Se (GGA-PBE)

Data for CaBe4Se after structural relaxation.

```
CaBe4Se
1.0
0.000 3.491 3.491
3.491 0.000 3.491
3.491 3.491 0.000
Ca Be Se
1 4 1
direct
0.000 0.000 0.000
0.109 0.630 0.630
0.630 0.109 0.630
0.630 0.630 0.109
0.630 0.630 0.630
0.250 0.250 0.250
```

- Space group: No. 216
- N(E_F): 2.1 states/eV/f.u.
- Electronic total energy: -2.98 eV/atom

---

Entry 11:
## CaBe2Se (GGA-PBE)

Data for CaBe2Se after structural relaxation.

```
CaBe2Se
1.0
4.066 0.000 0.000
0.000 4.273 0.000
0.000 0.000 4.421
Ca Be Se
1 2 1
direct
0.000 0.000 0.000
0.500 0.249 0.500
0.500 0.751 0.500
0.500 0.500 0.000
```

- Space group: No. 47
- N(E_F): 1.1 states/eV/f.u.
- Electronic total energy: -3.41 eV/atom

---

Entry 12:
## CaBeSe2 (GGA-PBE)

Data for CaBeSe2 after structural relaxation.

```
CaBeSe2
1.0
3.634 0.000 0.000
0.000 6.570 0.000
0.000 0.000 7.550
Ca Be Se
2 2 4
direct
0.000 0.000 0.000
0.500 0.500 0.500
0.000 0.000 0.500
0.500 0.500 0.000
0.000 0.500 0.202
0.000 0.500 0.798
0.500 0.000 0.298
0.500 0.000 0.702
```

- Space group: No. 71
- Electronic total energy: -4.01 eV/atom

---

Entry 13:
## CaBeSe2 (GGA-PBE)

Data for CaBeSe2 after structural relaxation.

```
CaBeSe2
1.0
3.828 0.000 0.000
0.000 3.828 0.000
0.000 0.000 12.230
Ca Be Se
2 2 4
direct
0.000 0.000 0.000
0.500 0.500 0.500
0.000 0.500 0.250
0.500 0.000 0.750
0.000 0.000 0.500
0.000 0.500 0.750
0.500 0.000 0.250
0.500 0.500 0.000
```

- Space group: No. 119
- N(E_F): 1.0 states/eV/f.u.
- Electronic total energy: -3.68 eV/atom

---

Entry 14:
## CaBeSe (GGA-PBE)

Data for CaBeSe after structural relaxation.

```
CaBeSe
1.0
3.390 0.000 0.000
0.000 3.390 0.000
0.000 0.000 10.262
Ca Be Se
2 2 2
direct
0.000 0.000 0.000
0.500 0.500 0.500
0.000 0.000 0.701
0.500 0.500 0.201
0.000 0.000 0.289
0.500 0.500 0.789
```

- Space group: No. 107
- Relative energy among the computed polymorphs: 241 meV per atom
- N(E_F): 0.9 states/eV/f.u.

---

Entry 15:
## CaBeSe (GGA-PBE)

Data for CaBeSe after structural relaxation.

```
CaBeSe
1.0
6.782 0.000 0.000
0.000 6.782 0.000
0.000 0.000 6.782
Ca Be Se
4 4 4
direct
0.000 0.000 0.000
0.000 0.500 0.500
0.500 0.000 0.500
0.500 0.500 0.000
0.250 0.250 0.750
0.250 0.750 0.250
0.750 0.250 0.250
0.750 0.750 0.750
0.250 0.250 0.250
0.250 0.750 0.750
0.750 0.250 0.750
0.750 0.750 0.250
```

- Space group: No. 216
- Relative energy among the computed polymorphs: 508 meV per atom

---

Entry 16:
## CaBeSe (GGA-PBE)

Data for CaBeSe after structural relaxation.

```
CaBeSe
1.0
3.771 0.000 0.000
0.000 6.861 0.000
0.000 0.000 11.147
Ca Be Se
4 4 4
direct
0.000 0.000 0.000
0.000 0.500 0.500
0.500 0.000 0.500
0.500 0.500 0.000
0.000 0.000 0.696
0.000 0.500 0.196
0.500 0.000 0.196
0.500 0.500 0.696
0.000 0.000 0.298
0.000 0.500 0.798
0.500 0.000 0.798
0.500 0.500 0.298
```

- Space group: No. 42
- Relative energy among the computed polymorphs: 188 meV per atom
- N(E_F): 0.4 states/eV/f.u.

---

Entry 17:
## CaBe2Se (GGA-PBE)

Data for CaBe2Se after structural relaxation.

```
CaBe2Se
1.0
7.388 0.000 0.000
0.000 7.388 0.000
0.000 0.000 5.452
Ca Be Se
4 8 4
direct
0.000 0.000 0.000
0.000 0.500 0.250
0.500 0.000 0.750
0.500 0.500 0.500
0.184 0.750 0.625
0.250 0.184 0.375
0.250 0.316 0.875
0.316 0.750 0.125
0.684 0.250 0.125
0.750 0.684 0.875
0.750 0.816 0.375
0.816 0.250 0.625
0.000 0.000 0.500
0.000 0.500 0.750
0.500 0.000 0.250
0.500 0.500 0.000
```

- Space group: No. 122
- N(E_F): 0.0 states/eV/f.u.
- Electronic total energy: -3.24 eV/atom

---

Entry 18:
## CaBeSe2 (GGA-PBE)

Data for CaBeSe2 after structural relaxation.

```
CaBeSe2
1.0
4.345 0.000 0.000
0.000 3.858 0.000
-0.671 0.000 6.003
Ca Be Se
1 1 2
direct
0.000 0.000 0.000
0.717 0.500 0.378
0.503 0.500 0.038
0.906 0.000 0.509
```

- Space group: No. 6
- N(E_F): 0.0 states/eV/f.u.
- Electronic total energy: -4.39 eV/atom

---

Entry 19:
## Ca3BeSe (GGA-PBE)

Data for Ca3BeSe after structural relaxation.

```
Ca3BeSe
1.0
5.511 0.000 0.000
0.000 5.511 0.000
0.000 0.000 5.511
Ca Be Se
3 1 1
direct
0.000 0.000 0.500
0.000 0.500 0.000
0.500 0.000 0.000
0.500 0.500 0.500
0.000 0.000 0.000
```

- Space group: No. 221
- Relative energy among the computed polymorphs: 0 meV per atom
- N(E_F): 4.0 states/eV/f.u.

---

Entry 20:
## CaBeSe (GGA-PBE)

Data for CaBeSe after structural relaxation.

```
CaBeSe
1.0
3.733 0.000 0.000
-1.867 3.233 0.000
0.000 0.000 5.204
Ca Be Se
1 1 1
direct
0.000 0.000 0.000
0.667 0.333 0.602
0.333 0.667 0.435
```

- Space group: No. 156
- Relative energy among the computed polymorphs: 0 meV per atom
- N(E_F): 0.1 states/eV/f.u.

---

Entry 21:
## CaBeSe2 (GGA-PBE)

Data for CaBeSe2 after structural relaxation.

```
CaBeSe2
1.0
3.493 0.000 0.000
0.000 3.762 0.000
0.000 0.000 12.914
Ca Be Se
2 2 4
direct
0.000 0.000 0.000
0.500 0.500 0.500
0.000 0.500 0.240
0.500 0.000 0.740
0.000 0.000 0.615
0.000 0.500 0.829
0.500 0.000 0.329
0.500 0.500 0.115
```

- Space group: No. 44
- N(E_F): 0.7 states/eV/f.u.
- Electronic total energy: -3.94 eV/atom

---

Entry 22:
## CaBeSe2 (GGA-PBE)

Data for CaBeSe2 after structural relaxation.

```
CaBeSe2
1.0
3.889 0.000 0.000
0.000 3.889 0.000
0.000 0.000 6.069
Ca Be Se
1 1 2
direct
0.000 0.000 0.000
0.500 0.500 0.565
0.000 0.000 0.481
0.500 0.500 0.919
```

- Space group: No. 99
- Electronic total energy: -4.11 eV/atom

---

Entry 23:
## CaBeSnSe2 (GGA-PBE)

Data for CaBeSnSe2 after structural relaxation.

```
CaBeSnSe2
1.0
5.437 0.000 0.000
0.000 5.437 0.000
0.000 0.000 5.073
Ca Be Sn Se
1 1 1 2
direct
0.000 0.000 0.000
0.000 0.000 0.500
0.500 0.500 0.500
0.000 0.500 0.000
0.500 0.000 0.000
```

- Space group: No. 123
- N(E_F): 0.8 states/eV/f.u.
- Electronic total energy: -3.00 eV/atom

---

Entry 24:
## CaBe2WSe (GGA-PBE)

Data for CaBe2WSe after structural relaxation.

```
CaBe2WSe
1.0
4.500 0.000 0.000
0.000 4.500 0.000
0.000 0.000 4.894
Ca Be W Se
1 2 1 1
direct
0.000 0.000 0.000
0.000 0.500 0.000
0.500 0.000 0.000
0.500 0.500 0.500
0.000 0.000 0.500
```

- Space group: No. 123
- N(E_F): 7.0 states/eV/f.u.
- Electronic total energy: -2.95 eV/atom

---

Entry 25:
## CaBe2ZnSe (GGA-PBE)

Data for CaBe2ZnSe after structural relaxation.

```
CaBe2ZnSe
1.0
4.440 0.000 0.000
0.000 4.440 0.000
0.000 0.000 5.391
Ca Be Zn Se
1 2 1 1
direct
0.000 0.000 0.000
0.000 0.500 0.500
0.500 0.000 0.500
0.500 0.500 0.000
0.000 0.000 0.500
```

- Space group: No. 123
- N(E_F): 2.3 states/eV/f.u.
- Electronic total energy: -2.41 eV/atom

---

Entry 26:
## Ca4BeSi (GGA-PBE)

Data for Ca4BeSi after structural relaxation.

```
Ca4BeSi
1.0
0.000 4.538 4.538
4.538 0.000 4.538
4.538 4.538 0.000
Ca Be Si
4 1 1
direct
0.124 0.124 0.124
0.124 0.124 0.627
0.124 0.627 0.124
0.627 0.124 0.124
0.500 0.500 0.500
0.750 0.750 0.750
```

- Space group: No. 216
- N(E_F): 7.0 states/eV/f.u.
- Electronic total energy: -2.01 eV/atom

---

Entry 27:
## CaBe4Si3 (GGA-PBE)

Data for CaBe4Si3 after structural relaxation.

```
CaBe4Si3
1.0
3.948 0.000 0.000
0.000 3.948 0.000
0.000 0.000 7.190
Ca Be Si
1 4 3
direct
0.000 0.000 0.000
0.000 0.500 0.329
0.000 0.500 0.671
0.500 0.000 0.329
0.500 0.000 0.671
0.000 0.000 0.500
0.500 0.500 0.166
0.500 0.500 0.834
```

- Space group: No. 123
- N(E_F): 0.8 states/eV/f.u.
- Electronic total energy: -4.21 eV/atom

---

Entry 28:
## CaBe3Si2 (GGA-PBE)

Data for CaBe3Si2 after structural relaxation.

```
CaBe3Si2
1.0
7.326 -1.841 0.000
7.326 1.841 0.000
-2.687 0.000 6.380
Ca Be Si
2 6 4
direct
0.150 0.150 0.067
0.850 0.850 0.933
0.044 0.044 0.393
0.323 0.323 0.557
0.418 0.418 0.365
0.582 0.582 0.635
0.677 0.677 0.443
0.956 0.956 0.607
0.193 0.193 0.668
0.484 0.484 0.814
0.516 0.516 0.186
0.807 0.807 0.332
```

- Space group: No. 12
- N(E_F): 0.8 states/eV/f.u.
- Electronic total energy: -4.13 eV/atom

---

Entry 29:
## Ca2BeSi3 (GGA-PBE)

Data for Ca2BeSi3 after structural relaxation.

```
Ca2BeSi3
1.0
0.000 4.358 6.840
3.944 0.000 6.840
3.944 4.358 0.000
Ca Be Si
4 2 6
direct
0.243 0.757 0.243
0.250 0.250 0.250
0.750 0.750 0.750
0.757 0.243 0.757
0.333 0.333 0.667
0.667 0.667 0.333
0.172 0.172 0.828
0.175 0.653 0.825
0.347 0.825 0.653
0.653 0.175 0.347
0.825 0.347 0.175
0.828 0.828 0.172
```

- Space group: No. 69
- N(E_F): 2.3 states/eV/f.u.
- Electronic total energy: -4.42 eV/atom

---

Number 1: size of the total moment 0.00 μB/f.u.. Number 2: size of the total moment 0.00 μB/f.u.. Number 3: size of the total moment 0.00 μB/f.u.. Number 4: size of the total moment 0.00 μB/f.u.. Number 5: size of the total moment 0.00 μB/f.u.. Number 6: size of the total moment 0.00 μB/f.u.. Number 7: size of the total moment 0.00 μB/f.u.. Number 8: size of the total moment 0.00 μB/f.u.. Number 9: size of the total moment 0.00 μB/f.u.. Number 10: size of the total moment 0.00 μB/f.u.. Number 11: size of the total moment 0.00 μB/f.u.. Number 12: size of the total moment 0.00 μB/f.u.. Number 13: size of the total moment 0.00 μB/f.u.. Number 14: size of the total moment 0.00 μB/f.u.. Number 15: size of the total moment 0.00 μB/f.u.. Number 16: size of the total moment 0.00 μB/f.u.. Number 17: size of the total moment 0.00 μB/f.u.. Number 18: size of the total moment 0.00 μB/f.u.. Number 19: size of the total moment 0.00 μB/f.u.. Number 20: size of the total moment 0.00 μB/f.u.. Number 21: size of the total moment 0.00 μB/f.u.. Number 22: size of the total moment 0.00 μB/f.u.. Number 23: size of the total moment 0.00 μB/f.u.. Number 24: size of the total moment 0.00 μB/f.u.. Number 25: size of the total moment 0.00 μB/f.u.. Number 26: size of the total moment 0.00 μB/f.u.. Number 27: size of the total moment 0.00 μB/f.u.. Number 28: size of the total moment 0.00 μB/f.u.. Number 29: size of the total moment 0.00 μB/f.u..